# 1
# Hf6Bi2C

An optimized crystal structure of Hf6Bi2C (PBE, Alexandria).

## Properties
E, eV/cell: -156.2
M_tot, μB per formula unit: 0.0
Formation energy, eV per atom: -0.1551
Volume, Å³/atom: 21.3

```
data_Hf6Bi2C
_chemical_formula_sum 'Hf12 Bi4 C2'
_cell_length_a 5.9656
_cell_length_b 6.7296
_cell_length_c 10.9985
_cell_angle_alpha 90.00
_cell_angle_beta 119.86
_cell_angle_gamma 90.00
_symmetry_space_group_name_H-M 'P 1 21/c 1'
_symmetry_Int_Tables_number 14
_symmetry_space_group_name_Hall '-P 2ybc'
loop_
_atom_site_label
_atom_site_type_symbol
_atom_site_fract_x
_atom_site_fract_y
_atom_site_fract_z
Hf1 Hf 0.1109 0.0149 0.2358
Hf2 Hf 0.1779 0.6963 0.0215
Hf3 Hf 0.3562 0.1874 0.0213
Bi1 Bi 0.3536 0.0967 0.7525
C1 C 0.0000 0.0000 0.0000
```


# 2
# Hf7Bi2C2

An optimized crystal structure of Hf7Bi2C2 (PBE, Alexandria).

## Properties
E, eV/cell: -192.0
M_tot, μB per formula unit: 0.0
Formation energy, eV per atom: -0.0123
Volume, Å³/atom: 23.8

```
data_Hf7Bi2C2
_chemical_formula_sum 'Hf14 Bi4 C4'
_cell_length_a 7.0299
_cell_length_b 10.1560
_cell_length_c 7.4789
_cell_angle_alpha 90.00
_cell_angle_beta 101.49
_cell_angle_gamma 90.00
_symmetry_space_group_name_H-M 'C 1 2/m 1'
_symmetry_Int_Tables_number 12
_symmetry_space_group_name_Hall '-C 2y'
loop_
_atom_site_label
_atom_site_type_symbol
_atom_site_fract_x
_atom_site_fract_y
_atom_site_fract_z
Hf1 Hf 0.0000 0.0000 0.0000
Hf2 Hf 0.0903 0.5000 0.8236
Hf3 Hf 0.2025 0.2897 0.1733
Bi1 Bi 0.0000 0.3038 0.5000
C1 C 0.2150 0.5000 0.1214
```


# 3
# HfBiC2

An optimized crystal structure of HfBiC2 (PBE, Alexandria).

## Properties
E, eV/cell: -117.6
M_tot, μB per formula unit: 0.0
Formation energy, eV per atom: 0.7206
Volume, Å³/atom: 18.6

```
data_HfBiC2
_chemical_formula_sum 'Hf4 Bi4 C8'
_cell_length_a 5.3135
_cell_length_b 5.3135
_cell_length_c 10.5173
_cell_angle_alpha 90.00
_cell_angle_beta 90.00
_cell_angle_gamma 90.00
_symmetry_space_group_name_H-M 'I -4 2 d'
_symmetry_Int_Tables_number 122
_symmetry_space_group_name_Hall 'I -4 2bw'
loop_
_atom_site_label
_atom_site_type_symbol
_atom_site_fract_x
_atom_site_fract_y
_atom_site_fract_z
Hf1 Hf 0.0000 0.0000 0.0000
Bi1 Bi 0.0000 0.0000 0.5000
C1 C 0.2129 0.2500 0.1250
```